Here is a geometry-optimized K2ScAl structure from Alexandria. Energies are from GGA-PBE.

Values from the calculation:
- size of the total moment (μB per atom) = 0.000
- energy (eV/atom) = -2.8672
- formation energy (meV per atom) = 200
- space group = P4mm

a b c (Å): 3.781 3.781 10.902
angles (deg): 90.00 90.00 90.00
Sites, in units of the cell vectors:
Sc (0.000, 0.000, 0.588)
K (0.000, 0.000, 0.925)
K (0.500, 0.500, 0.305)
Al (0.500, 0.500, 0.683)

=====

Here is a geometry-optimized K2ScAl structure from Alexandria. Energies are from GGA-PBE.

Values from the calculation:
- size of the total moment (μB per atom) = 0.000
- energy (eV/atom) = -2.7246
- formation energy (meV per atom) = 343
- space group = Cm

a b c (Å): 5.111 5.111 9.769
angles (deg): 85.47 85.47 40.77
Sites, in units of the cell vectors:
Sc (0.524, 0.524, 0.411)
K (0.973, 0.973, 0.074)
K (0.756, 0.756, 0.687)
Al (0.247, 0.247, 0.327)

=====

Here is a geometry-optimized K2ScAl structure from Alexandria. Energies are from GGA-PBE.

Values from the calculation:
- size of the total moment (μB per atom) = 0.298
- energy (eV/atom) = -2.5535
- formation energy (meV per atom) = 514
- space group = I4/mmm

a b c (Å): 6.996 6.996 6.996
angles (deg): 141.94 141.94 54.92
Last column: magnetic moment on the atom in μB.
Sites, in units of the cell vectors:
Sc (0.250, 0.750, 0.500)  0.57
K (0.000, 0.000, 0.000)  0.02
K (0.500, 0.500, 0.000)  0.02
Al (0.750, 0.250, 0.500)  0.01

=====

Here is a geometry-optimized K2ScAl structure from Alexandria. Energies are from GGA-PBE.

Values from the calculation:
- size of the total moment (μB per atom) = 0.248
- energy (eV/atom) = -2.4691
- formation energy (meV per atom) = 598
- space group = Pmmm

a b c (Å): 3.387 6.195 6.501
angles (deg): 90.00 90.00 90.00
Last column: magnetic moment on the atom in μB.
Sites, in units of the cell vectors:
Sc (0.500, 0.500, 0.250)  0.56
K (0.000, 0.000, 0.989)  0.01
K (0.000, 0.000, 0.511)  0.01
Al (0.500, 0.500, 0.750)  0.00